An optimized crystal structure of LaMgBe. Source: the Alexandria database, functional GGA-PBE.

Output
**Formation energy from the elements**: 0.187 eV per atom
**Electronic total energy**: -3.229 eV per atom
**E above lowest polymorph**: 0.000 eV per atom

Lattice parameters (Å, degrees): 4.7902 4.7902 3.5542 90.00 90.00 120.00
Space group P-6m2 (No. 187)
Asymmetric unit:
La: 0.0000 0.0000 0.0000 [1 per cell]
Mg: 0.6667 0.3333 0.5000 [1 per cell]
Be: 0.3333 0.6667 0.5000 [1 per cell]



An optimized crystal structure of SrZrTa2. Source: the Alexandria database, functional GGA-PBE.

Output
**Formation energy from the elements**: 0.723 eV per atom
**Electronic total energy**: -7.761 eV per atom
**E above lowest polymorph**: 0.309 eV per atom

Lattice parameters (Å, degrees): 3.1487 3.1487 32.2914 90.00 90.00 120.00
Space group R-3m (No. 166, hexagonal axes)
Asymmetric unit:
Sr: 0.0000 0.0000 0.0000 [3 per cell]
Zr: 0.0000 0.0000 0.5000 [3 per cell]
Ta: 0.0000 0.0000 0.2422 [6 per cell]



An optimized crystal structure of AlP2W. Source: the Alexandria database, functional GGA-PBE.

Output
**Formation energy from the elements**: -0.127 eV per atom
**Electronic total energy**: -7.006 eV per atom

Lattice parameters (Å, degrees): 3.3018 3.3018 19.7310 90.00 90.00 120.00
Space group R-3m (No. 166, hexagonal axes)
Asymmetric unit:
Al: 0.0000 0.0000 0.0000 [3 per cell]
P: 0.0000 0.0000 0.2488 [6 per cell]
W: 0.0000 0.0000 0.5000 [3 per cell]



An optimized crystal structure of Ba3Au. Source: the Alexandria database, functional GGA-PBE.

Output
**Formation energy from the elements**: -0.019 eV per atom
**Electronic total energy**: -2.281 eV per atom

Lattice parameters (Å, degrees): 11.9710 11.9710 4.2722 90.00 90.00 120.00
Space group R-3m (No. 166, hexagonal axes)
Asymmetric unit:
Ba: 0.0000 0.5000 0.0000 [9 per cell]
Au: 0.0000 0.0000 0.0000 [3 per cell]



An optimized crystal structure of DyHoCS. Source: the Alexandria database, functional GGA-PBE.

Output
**Uncorrected formation energy**: -1293 meV/atom
**Electronic total energy**: -6.926 eV per atom

Lattice parameters (Å, degrees): 3.7074 3.7074 19.0129 90.00 90.00 120.00
Space group R3m (No. 160, hexagonal axes)
Asymmetric unit:
Dy: 0.0000 0.0000 0.0000 [3 per cell]
Ho: 0.0000 0.0000 0.4745 [3 per cell]
C: 0.0000 0.0000 0.7375 [3 per cell]
S: 0.0000 0.0000 0.2366 [3 per cell]



An optimized crystal structure of TlCuIr2. Source: the Alexandria database, functional GGA-PBE.

Output
**Formation energy from the elements**: 0.599 eV per atom
**Electronic total energy**: -5.447 eV per atom
**E above lowest polymorph**: 0.238 eV per atom

Lattice parameters (Å, degrees): 2.925 4.910 9.128 90.00 90.00 90.00
Space group Cmmm (No. 65)
Asymmetric unit:
Tl: 0.000 0.000 0.000 [2 per cell]
Cu: 0.000 0.000 0.500 [2 per cell]
Ir: 0.000 0.500 0.273 [4 per cell]



An optimized crystal structure of ScSnW. Source: the Alexandria database, functional GGA-PBE.

Output
**Formation energy from the elements**: -0.001 eV per atom
**Electronic total energy**: -7.763 eV per atom
**E above lowest polymorph**: 0.129 eV per atom

Lattice parameters (Å, degrees): 3.452 4.683 15.124 90.00 90.00 90.00
Space group Amm2 (No. 38)
Asymmetric unit:
Sc: 0.000 0.000 0.000 [2 per cell]
Sc: 0.500 0.000 0.191 [2 per cell]
Sn: 0.000 0.000 0.362 [2 per cell]
Sn: 0.500 0.000 0.552 [2 per cell]
W: 0.000 0.000 0.708 [2 per cell]
W: 0.500 0.000 0.834 [2 per cell]



Look up the electronic total energy of the second one.
-7.761 eV per atom